# NaBeO2F GGA-PBE optimized geometry
data_NaBeO2F
_chemical_formula_sum 'Na1 Be1 O2 F1'
_space_group_name_H-M_alt 'P 1'
_space_group_IT_number 1
_space_group_name_Hall 'P 1'
_cell_length_a 4.0424
_cell_length_b 4.0424
_cell_length_c 3.9392
_cell_angle_alpha 90.00
_cell_angle_beta 90.00
_cell_angle_gamma 90.00
loop_
_atom_site_label
_atom_site_type_symbol
_atom_site_fract_x
_atom_site_fract_y
_atom_site_fract_z
Na1 Na 0.0000 0.0000 0.0000
Be1 Be 0.5000 0.5000 0.5000
O1 O 0.0000 0.5000 0.0000
O2 O 0.5000 0.0000 0.0000
F1 F 0.0000 0.0000 0.5000
# Fermi-level density of states in states/eV/f.u.: 5.046
# Space group: P4/mmm (123)
# Electronic total energy in eV/cell: -15.77

# NiPb2Br GGA-PBE optimized geometry
data_NiPb2Br
_chemical_formula_sum 'Ni1 Pb2 Br1'
_space_group_name_H-M_alt 'P 1'
_space_group_IT_number 1
_space_group_name_Hall 'P 1'
_cell_length_a 5.7195
_cell_length_b 5.7195
_cell_length_c 5.7195
_cell_angle_alpha 137.52
_cell_angle_beta 121.40
_cell_angle_gamma 75.01
loop_
_atom_site_label
_atom_site_type_symbol
_atom_site_fract_x
_atom_site_fract_y
_atom_site_fract_z
Ni1 Ni 0.0000 0.0000 0.0000
Pb1 Pb 0.1935 0.6935 0.5000
Pb2 Pb 0.8065 0.3065 0.5000
Br1 Br 0.5000 0.5000 0.0000
# Fermi-level density of states in states/eV/f.u.: 3.247
# Space group: Immm (71)
# Electronic total energy in eV/cell: -14.05

# BaNaTa GGA-PBE optimized geometry
data_BaNaTa
_chemical_formula_sum 'Ba4 Na4 Ta4'
_space_group_name_H-M_alt 'P 1'
_space_group_IT_number 1
_space_group_name_Hall 'P 1'
_cell_length_a 4.8304
_cell_length_b 6.2606
_cell_length_c 13.1566
_cell_angle_alpha 90.00
_cell_angle_beta 90.00
_cell_angle_gamma 90.00
loop_
_atom_site_label
_atom_site_type_symbol
_atom_site_fract_x
_atom_site_fract_y
_atom_site_fract_z
Ba1 Ba 0.2484 0.2500 0.0219
Ba2 Ba 0.2516 0.7500 0.5219
Ba3 Ba 0.7484 0.2500 0.4781
Ba4 Ba 0.7516 0.7500 0.9781
Na1 Na 0.2452 0.2500 0.6917
Na2 Na 0.2548 0.7500 0.1917
Na3 Na 0.7452 0.2500 0.8083
Na4 Na 0.7548 0.7500 0.3083
Ta1 Ta 0.2483 0.2500 0.2845
Ta2 Ta 0.2517 0.7500 0.7845
Ta3 Ta 0.7483 0.2500 0.2155
Ta4 Ta 0.7517 0.7500 0.7155
# Fermi-level density of states in states/eV/f.u.: 3.515
# Space group: Pnma (62)
# Electronic total energy in eV/cell: -50.79

# As2SeBr GGA-PBE optimized geometry
data_As2SeBr
_chemical_formula_sum 'As2 Se1 Br1'
_space_group_name_H-M_alt 'P 1'
_space_group_IT_number 1
_space_group_name_Hall 'P 1'
_cell_length_a 4.9149
_cell_length_b 4.9149
_cell_length_c 4.9149
_cell_angle_alpha 60.00
_cell_angle_beta 60.00
_cell_angle_gamma 60.00
loop_
_atom_site_label
_atom_site_type_symbol
_atom_site_fract_x
_atom_site_fract_y
_atom_site_fract_z
As1 As 0.2500 0.2500 0.2500
As2 As 0.7500 0.7500 0.7500
Se1 Se 0.0000 0.0000 0.0000
Br1 Br 0.5000 0.5000 0.5000
# Fermi-level density of states in states/eV/f.u.: 2.696
# Space group: Fm-3m (225)
# Electronic total energy in eV/cell: -12.33

no.,density (Mg/m³)
1,2.14
2,8.73
3,5.70
4,6.11